The following is a DFT calculation (meta-GGA SCAN) of a PBEsol-optimized structure of K2NaAu.

The structure in POSCAR format:
```
K2NaAu
1.0
-5.723 5.723 2.891
5.723 -5.723 2.891
5.723 5.723 -2.891
K Na Au
4 2 2
direct
0.375 0.015 0.140
0.765 0.625 0.640
0.875 0.235 0.860
0.985 0.125 0.360
0.250 0.750 0.500
0.500 0.500 0.000
0.000 0.000 0.000
0.750 0.250 0.500
```

Properties
**SG**: I-42d, No. 122
**Energy above the lowest structure with this stoichiometry**: 0 meV per atom
**Raw total energy**: -181.26 eV/cell
**N(E_F)**: 0.335 states/eV/atom